1:
Compound: MnAsSe2Br
Source: the Alexandria database
Functional: PBEsol
Structure: optimized geometry

a b c (Å): 5.0311 5.0311 5.0193
angles (deg): 90.00 90.00 90.00
Last column: nearest neighbours and their distance in Å.
Space group P4/mmm (No. 123)
One atom of each set of equivalent atoms:
Mn: 0.0000 0.0000 0.0000 x1  8 Se 3.55, 4 As 3.56
As: 0.5000 0.5000 0.0000 x1  2 Br 2.51
Se: 0.0000 0.5000 0.5000 x2  2 Br 2.52
Br: 0.5000 0.5000 0.5000 x1  2 As 2.51, 4 Se 2.52

Summary:
DOS(E_F) ... 4.8 states/eV/cell
Size of the total moment ... 0.927 μB/atom

=====

2:
Compound: MnAsSe2Br
Source: the Alexandria database
Functional: PBEsol
Structure: optimized geometry

a b c (Å): 4.5828 4.5828 4.8662
angles (deg): 90.00 90.00 90.00
Last column: nearest neighbours and their distance in Å.
Space group P4/mmm (No. 123)
One atom of each set of equivalent atoms:
Mn: 0.0000 0.0000 0.0000 x1  4 Se 2.29, 2 As 2.43
As: 0.0000 0.0000 0.5000 x1  2 Mn 2.43
Se: 0.0000 0.5000 0.0000 x2  2 Mn 2.29
Br: 0.5000 0.5000 0.5000 x1  4 As 3.24, 8 Se 3.34

Summary:
DOS(E_F) ... 5.3 states/eV/cell
Size of the total moment ... 0.378 μB/atom

=====

Which is the most stable structure? 2 is the most stable.

=====

1:
Compound: AsSe2BrN
Source: the Alexandria database
Functional: PBEsol
Structure: optimized geometry

a b c (Å): 4.9597 4.9597 5.3024
angles (deg): 90.00 90.00 90.00
Last column: nearest neighbours and their distance in Å.
Space group P4/mmm (No. 123)
One atom of each set of equivalent atoms:
As: 0.0000 0.0000 0.0000 x1  4 Se 2.48, 2 Br 2.65
Se: 0.0000 0.5000 0.0000 x2  2 As 2.48
Br: 0.0000 0.0000 0.5000 x1  2 As 2.65
N: 0.5000 0.5000 0.5000 x1  4 Br 3.51, 8 Se 3.63

Summary:
DOS(E_F) ... 5.3 states/eV/cell
Size of the total moment ... 0.526 μB/atom

=====

2:
Compound: AsSe2BrN
Source: the Alexandria database
Functional: PBEsol
Structure: optimized geometry

a b c (Å): 4.5121 4.5121 4.3192
angles (deg): 90.00 90.00 90.00
Last column: nearest neighbours and their distance in Å.
Space group P4/mmm (No. 123)
One atom of each set of equivalent atoms:
As: 0.0000 0.0000 0.0000 x1  8 Se 3.12, 4 Br 3.19
Se: 0.0000 0.5000 0.5000 x2  2 N 2.26
Br: 0.5000 0.5000 0.0000 x1  2 N 2.16
N: 0.5000 0.5000 0.5000 x1  2 Br 2.16, 4 Se 2.26

Summary:
DOS(E_F) ... 3.6 states/eV/cell
Size of the total moment ... 0.000 μB/atom

=====

Which is the most stable structure? 2 is the most stable.

=====

1:
Compound: NaTiAsBr2
Source: the Alexandria database
Functional: PBEsol
Structure: optimized geometry

a b c (Å): 4.9988 4.9988 5.3718
angles (deg): 90.00 90.00 90.00
Last column: nearest neighbours and their distance in Å.
Space group P4/mmm (No. 123)
One atom of each set of equivalent atoms:
Na: 0.0000 0.0000 0.0000 x1  4 Br 2.50, 2 As 2.69
Ti: 0.5000 0.5000 0.5000 x1  4 As 3.53, 8 Br 3.67
As: 0.0000 0.0000 0.5000 x1  2 Na 2.69
Br: 0.0000 0.5000 0.0000 x2  2 Na 2.50

Summary:
DOS(E_F) ... 6.6 states/eV/cell
Size of the total moment ... 0.008 μB/atom

=====

2:
Compound: NaTiAsBr2
Source: the Alexandria database
Functional: PBEsol
Structure: optimized geometry

a b c (Å): 5.1623 5.1623 4.8879
angles (deg): 90.00 90.00 90.00
Last column: nearest neighbours and their distance in Å.
Space group P4/mmm (No. 123)
One atom of each set of equivalent atoms:
Na: 0.0000 0.0000 0.0000 x1  8 Br 3.55, 4 As 3.65
Ti: 0.5000 0.5000 0.5000 x1  2 As 2.44, 4 Br 2.58
As: 0.5000 0.5000 0.0000 x1  2 Ti 2.44
Br: 0.0000 0.5000 0.5000 x2  2 Ti 2.58

Summary:
DOS(E_F) ... 2.8 states/eV/cell
Size of the total moment ... 0.000 μB/atom

=====

Which is the most stable structure? 2 is the most stable.

=====

1:
Compound: NbAsSe2Br
Source: the Alexandria database
Functional: PBEsol
Structure: optimized geometry

a b c (Å): 4.9866 4.9866 4.9049
angles (deg): 90.00 90.00 90.00
Last column: nearest neighbours and their distance in Å.
Space group P4/mmm (No. 123)
One atom of each set of equivalent atoms:
Nb: 0.0000 0.0000 0.0000 x1  8 Se 3.50, 4 Br 3.53
As: 0.5000 0.5000 0.5000 x1  2 Br 2.45, 4 Se 2.49
Se: 0.0000 0.5000 0.5000 x2  2 As 2.49
Br: 0.5000 0.5000 0.0000 x1  2 As 2.45

Summary:
DOS(E_F) ... 4.5 states/eV/cell
Size of the total moment ... 0.575 μB/atom

=====

2:
Compound: NbAsSe2Br
Source: the Alexandria database
Functional: PBEsol
Structure: optimized geometry

a b c (Å): 4.8961 4.8961 4.9843
angles (deg): 90.00 90.00 90.00
Last column: nearest neighbours and their distance in Å.
Space group P4/mmm (No. 123)
One atom of each set of equivalent atoms:
Nb: 0.0000 0.0000 0.0000 x1  4 As 3.46, 8 Se 3.49
As: 0.5000 0.5000 0.0000 x1  2 Br 2.49
Se: 0.0000 0.5000 0.5000 x2  2 Br 2.45
Br: 0.5000 0.5000 0.5000 x1  4 Se 2.45, 2 As 2.49

Summary:
DOS(E_F) ... 4.4 states/eV/cell
Size of the total moment ... 0.367 μB/atom

=====

Which is the most stable structure? 1 is the most stable.

=====

1:
Compound: AsOs2Br
Source: the Alexandria database
Functional: PBEsol
Structure: optimized geometry

a b c (Å): 3.0570 3.0570 6.6594
angles (deg): 90.00 90.00 90.00
Last column: nearest neighbours and their distance in Å.
Space group P4/mmm (No. 123)
One atom of each set of equivalent atoms:
As: 0.0000 0.0000 0.0000 x1  8 Os 2.57
Os: 0.5000 0.5000 0.2084 x2  4 As 2.57, 1 Os 2.78
Br: 0.0000 0.0000 0.5000 x1  8 Os 2.91, 4 Br 3.06

Summary:
DOS(E_F) ... 3.2 states/eV/cell
Size of the total moment ... 0.000 μB/atom

=====

2:
Compound: AsOs2Br
Source: the Alexandria database
Functional: PBEsol
Structure: optimized geometry

a b c (Å): 6.2294 6.2294 6.2294
angles (deg): 90.00 90.00 90.00
Last column: nearest neighbours and their distance in Å.
Space group Fm-3m (No. 225)
One atom of each set of equivalent atoms:
As: 0.0000 0.0000 0.0000 x4  8 Os 2.70
Os: 0.2500 0.2500 0.2500 x8  4 As 2.70, 4 Br 2.70
Br: 0.0000 0.0000 0.5000 x4  8 Os 2.70

Summary:
DOS(E_F) ... 12.4 states/eV/cell
Size of the total moment ... 0.000 μB/atom

=====

3:
Compound: AsOs2Br
Source: the Alexandria database
Functional: PBEsol
Structure: optimized geometry

a b c (Å): 2.9057 2.9057 28.3609
angles (deg): 90.00 90.00 120.00
Last column: nearest neighbours and their distance in Å.
Space group R3m (No. 160, hexagonal axes)
One atom of each set of equivalent atoms:
As: 0.0000 0.0000 0.0000 x3  3 Os 2.57
Os: 0.0000 0.0000 0.4746 x3  9 Os 2.66-2.91, 3 Br 2.68
Os: 0.0000 0.0000 0.7352 x3  3 As 2.57, 3 Os 2.66
Br: 0.0000 0.0000 0.2148 x3  3 Os 2.68, 6 Br 2.91

Summary:
DOS(E_F) ... 11.0 states/eV/cell
Size of the total moment ... 0.000 μB/atom

=====

Which is the most stable structure? 3 is the most stable.

=====

1:
Compound: RbAs2OsBr
Source: the Alexandria database
Functional: PBEsol
Structure: optimized geometry

a b c (Å): 4.7095 4.7095 5.8362
angles (deg): 90.00 90.00 90.00
Last column: nearest neighbours and their distance in Å.
Space group P4/mmm (No. 123)
One atom of each set of equivalent atoms:
Rb: 0.0000 0.0000 0.0000 x1  4 Br 3.33
As: 0.0000 0.5000 0.5000 x2  2 Os 2.35
Os: 0.5000 0.5000 0.5000 x1  4 As 2.35
Br: 0.5000 0.5000 0.0000 x1  2 Os 2.92

Summary:
DOS(E_F) ... 3.0 states/eV/cell
Size of the total moment ... 0.000 μB/atom

=====

2:
Compound: RbAs2OsBr
Source: the Alexandria database
Functional: PBEsol
Structure: optimized geometry

a b c (Å): 5.4978 5.4978 5.5914
angles (deg): 90.00 90.00 90.00
Last column: nearest neighbours and their distance in Å.
Space group P4/mmm (No. 123)
One atom of each set of equivalent atoms:
Rb: 0.0000 0.0000 0.0000 x1  4 As 2.75, 2 Br 2.80
As: 0.0000 0.5000 0.0000 x2  2 Rb 2.75
Os: 0.5000 0.5000 0.5000 x1  4 Br 3.89, 8 As 3.92
Br: 0.0000 0.0000 0.5000 x1  2 Rb 2.80

Summary:
DOS(E_F) ... 7.5 states/eV/cell
Size of the total moment ... 0.597 μB/atom

=====

Which is the most stable structure? 1 is the most stable.

=====

1:
Compound: As2OsSeBr
Source: the Alexandria database
Functional: PBEsol
Structure: optimized geometry

a b c (Å): 4.7135 4.7135 5.0271
angles (deg): 90.00 90.00 90.00
Last column: nearest neighbours and their distance in Å.
Space group P4/mmm (No. 123)
One atom of each set of equivalent atoms:
As: 0.0000 0.5000 0.0000 x2  2 Os 2.36
Os: 0.0000 0.0000 0.0000 x1  4 As 2.36, 2 Br 2.51
Se: 0.5000 0.5000 0.5000 x1  4 Br 3.33, 8 As 3.45
Br: 0.0000 0.0000 0.5000 x1  2 Os 2.51

Summary:
DOS(E_F) ... 4.0 states/eV/cell
Size of the total moment ... 0.000 μB/atom

=====

2:
Compound: As2OsSeBr
Source: the Alexandria database
Functional: PBEsol
Structure: optimized geometry

a b c (Å): 4.9102 4.9102 4.8519
angles (deg): 90.00 90.00 90.00
Last column: nearest neighbours and their distance in Å.
Space group P4/mmm (No. 123)
One atom of each set of equivalent atoms:
As: 0.0000 0.5000 0.0000 x2  2 Se 2.46
Os: 0.0000 0.0000 0.5000 x1  8 As 3.45, 4 Br 3.47
Se: 0.5000 0.5000 0.0000 x1  2 Br 2.43, 4 As 2.46
Br: 0.5000 0.5000 0.5000 x1  2 Se 2.43

Summary:
DOS(E_F) ... 5.0 states/eV/cell
Size of the total moment ... 0.462 μB/atom

=====

Which is the most stable structure? 1 is the most stable.

=====

1:
Compound: AsPbBr2
Source: the Alexandria database
Functional: PBEsol
Structure: optimized geometry

a b c (Å): 3.4978 6.1289 9.4898
angles (deg): 90.00 90.00 90.00
Last column: nearest neighbours and their distance in Å.
Space group Cmmm (No. 65)
One atom of each set of equivalent atoms:
As: 0.0000 0.0000 0.0000 x2  4 Br 2.73
Pb: 0.0000 0.0000 0.5000 x2  4 Br 3.17, 6 Pb 3.50-3.53
Br: 0.0000 0.5000 0.2212 x4  2 As 2.73

Summary:
DOS(E_F) ... 3.1 states/eV/cell
Size of the total moment ... 0.000 μB/atom

=====

2:
Compound: AsPbBr2
Source: the Alexandria database
Functional: PBEsol
Structure: optimized geometry

a b c (Å): 3.5203 5.9087 9.6363
angles (deg): 90.00 90.00 90.00
Last column: nearest neighbours and their distance in Å.
Space group Immm (No. 71)
One atom of each set of equivalent atoms:
As: 0.0000 0.0000 0.0000 x2  4 Br 2.79
Pb: 0.0000 0.0000 0.5000 x2  4 Br 3.18, 4 As 3.44, 2 Pb 3.52
Br: 0.0000 0.5000 0.2747 x4  2 As 2.79

Summary:
DOS(E_F) ... 3.9 states/eV/cell
Size of the total moment ... 0.000 μB/atom

=====

3:
Compound: AsPbBr2
Source: the Alexandria database
Functional: PBEsol
Structure: optimized geometry

a b c (Å): 3.6441 3.6441 7.9134
angles (deg): 90.00 90.00 90.00
Last column: nearest neighbours and their distance in Å.
Space group P4mm (No. 99)
One atom of each set of equivalent atoms:
As: 0.0000 0.0000 0.0000 x1  4 Br 2.89, 4 Pb 3.22
Pb: 0.5000 0.5000 0.7553 x1  5 Br 3.16-3.24, 4 As 3.22
Br: 0.0000 0.0000 0.5248 x1  4 Pb 3.16
Br: 0.5000 0.5000 0.1649 x1  4 As 2.89

Summary:
DOS(E_F) ... 2.0 states/eV/cell
Size of the total moment ... 0.000 μB/atom

=====

Which is the most stable structure? 2 is the most stable.